Record 1
## Eu2GeBi (PBE)

Data for crystalline Eu2GeBi at its relaxed geometry.

Cell: 5.522 5.522 5.522 Å, 60.00 60.00 60.00°
Fractional positions:
1 Eu 0.250 0.250 0.250
2 Eu 0.750 0.750 0.750
3 Bi 0.000 0.000 0.000
4 Ge 0.500 0.500 0.500

Output
Excess energy over the best structure of this formula in the dataset   0.082 eV per atom
ΔH_f (0 K)   -0.570 eV per atom

Record 2
## PmEuGeBi (PBE)

Data for crystalline PmEuGeBi at its relaxed geometry.

Cell: 5.467 5.467 5.467 Å, 60.00 60.00 60.00°
Fractional positions:
1 Eu 0.750 0.750 0.750
2 Pm 0.250 0.250 0.250
3 Bi 0.500 0.500 0.500
4 Ge 0.000 0.000 0.000

Output
ΔH_f (0 K)   -0.550 eV per atom

Record 3
## EuBiH (PBE)

Data for crystalline EuBiH at its relaxed geometry.

Cell: 3.367 3.367 6.557 Å, 104.88 104.88 90.00°
Fractional positions:
1 Bi 0.006 0.006 0.012
2 Eu 0.724 0.724 0.448
3 H 0.270 0.270 0.540

Output
Excess energy over the best structure of this formula in the dataset   0.080 eV per atom